#P
{"formula": "SrCa2Y", "functional": "PBE-GGA", "state": "relaxed", "lattice_angstrom": [[0.0000, 4.3301, 4.3301], [4.3301, 0.0000, 4.3301], [4.3301, 4.3301, 0.0000]], "species": ["Sr", "Ca", "Ca", "Y"], "fractional_positions": [[0.0000, 0.0000, 0.0000], [0.2500, 0.2500, 0.2500], [0.7500, 0.7500, 0.7500], [0.5000, 0.5000, 0.5000]], "total_magnetization_mub_per_atom": 0.00, "sg": "No. 225"}

---

#Q
{"formula": "SrCa2Y", "functional": "PBE-GGA", "state": "relaxed", "lattice_angstrom": [[2.1662, -3.0625, 0.0000], [2.1662, 3.0625, 0.0000], [0.0000, 0.0000, 12.3427]], "species": ["Sr", "Ca", "Ca", "Y"], "fractional_positions": [[0.0000, 0.0000, 0.0000], [0.5000, 0.5000, 0.2678], [0.5000, 0.5000, 0.7322], [0.0000, 0.0000, 0.5000]], "total_magnetization_mub_per_atom": 0.00, "sg": "No. 65"}

---

The structure with the most favorable energy is #Q; the runner-up is 31 meV per atom above it.